# La4In3Hg | the Alexandria database | PBE | relaxed
# DFT formation energy	-49	kJ per mole of atoms
data_La4In3Hg
_chemical_formula_sum 'La4 In3 Hg1'
_symmetry_space_group_name_H-M 'P 4/m m m'
_symmetry_Int_Tables_number 123
_symmetry_space_group_name_Hall '-P 4 2'
_cell_length_a 3.836
_cell_length_b 3.836
_cell_length_c 16.669
_cell_angle_alpha 90.00
_cell_angle_beta 90.00
_cell_angle_gamma 90.00
loop_
_atom_site_label
_atom_site_type_symbol
_atom_site_fract_x
_atom_site_fract_y
_atom_site_fract_z
La1 La 0.000 0.000 0.122
La2 La 0.000 0.000 0.374
In1 In 0.500 0.500 0.246
In2 In 0.500 0.500 0.500
Hg1 Hg 0.500 0.500 0.000

***

First-principles (PBE) data for a geometry-optimized AcCdGaO4 structure, as listed in the Alexandria database.

Structure (CIF):
```
data_AcCdGaO4
_chemical_formula_sum 'Ac2 Cd2 Ga2 O8'
_symmetry_space_group_name_H-M 'P 1 21/m 1'
_symmetry_Int_Tables_number 11
_symmetry_space_group_name_Hall '-P 2yb'
_cell_length_a 5.784
_cell_length_b 5.889
_cell_length_c 6.751
_cell_angle_alpha 90.00
_cell_angle_beta 107.50
_cell_angle_gamma 90.00
loop_
_atom_site_label
_atom_site_type_symbol
_atom_site_fract_x
_atom_site_fract_y
_atom_site_fract_z
Ac1 Ac 0.235 0.250 0.440
Cd1 Cd 0.325 0.250 0.966
Ga1 Ga 0.225 0.750 0.169
O1 O 0.015 0.750 0.909
O2 O 0.043 0.750 0.355
O3 O 0.464 0.517 0.239
```

***

# Nd2P3IrRh4 | the Alexandria database | PBE | relaxed
# DFT formation energy	-82	kJ per mole of atoms
data_Nd2P3IrRh4
_chemical_formula_sum 'Nd2 P3 Ir1 Rh4'
_symmetry_space_group_name_H-M 'P -4 m 2'
_symmetry_Int_Tables_number 115
_symmetry_space_group_name_Hall 'P -4 -2'
_cell_length_a 4.147
_cell_length_b 4.147
_cell_length_c 10.012
_cell_angle_alpha 90.00
_cell_angle_beta 90.00
_cell_angle_gamma 90.00
loop_
_atom_site_label
_atom_site_type_symbol
_atom_site_fract_x
_atom_site_fract_y
_atom_site_fract_z
Nd1 Nd 0.000 0.500 0.247
P1 P 0.000 0.000 0.000
P2 P 0.000 0.500 0.630
Ir1 Ir 0.500 0.500 0.000
Rh1 Rh 0.000 0.000 0.500
Rh2 Rh 0.000 0.500 0.858
Rh3 Rh 0.500 0.500 0.500

***

no.,calculated density (g/cm3),DFT total energy (hartree per atom)
1,7.45,-0.1484
2,7.16,-0.2234
3,9.50,-0.2667